DFT (GGA+U) results for an optimized crystal structure of CrSbF.

abc: 14.3450 3.1744 5.9055
angles: 90.00 90.00 90.00
Space group Amm2 (No. 38)
Unique sites:
Cr (0.0000, 0.0000, 0.0000) (multiplicity 2)
Cr (0.5000, 0.0000, 0.4446) (multiplicity 2)
Sb (0.3416, 0.0000, 0.1233) (multiplicity 4)
F (0.0866, 0.0000, 0.4998) (multiplicity 4)

Output
Magnetization (μB per formula unit): 0.10
Calculated total energy (eV/atom): -5.525